No. 1
First-principles (PBE) data for a relaxed GaPt2O2 crystal, as listed in Alexandria via LeMat-Bulk.

As for the formation energy without anion corrections: 0.33 eV per atom. For the total magnetic moment, the calculation gives 0.005 μB/atom.

It has space group I4/mmm (No. 139), with a = 4.344 Å, b = 4.344 Å, c = 7.103 Å, α = 90.00°, β = 90.00° and γ = 90.00°. Symmetry generates all atoms from Ga at (0.000, 0.000, 0.000), Pt at (0.000, 0.500, 0.250) and O at (0.000, 0.000, 0.403).

=====

No. 2
First-principles (PBE) data for a relaxed SnPS2O crystal, as listed in Alexandria via LeMat-Bulk.

As for the formation energy without anion corrections: 1.41 eV per atom. For the total magnetic moment, the calculation gives 0.000 μB/atom.

It has space group P4/mmm (No. 123), with a = 4.876 Å, b = 4.876 Å, c = 5.285 Å, α = 90.00°, β = 90.00° and γ = 90.00°. Symmetry generates all atoms from Sn at (0.000, 0.000, 0.000), P at (0.000, 0.000, 0.500), S at (0.000, 0.500, 0.000) and O at (0.500, 0.500, 0.500).

=====

No. 3
First-principles (PBE) data for a relaxed NaCaV crystal, as listed in Alexandria via LeMat-Bulk.

Its formation energy is 77.8 kJ per mole of atoms. For the total magnetic moment, the calculation gives 1.293 μB/atom.

It has space group P-6m2 (No. 187), with a = 5.5451 Å, b = 5.5451 Å, c = 3.1551 Å, α = 90.00°, β = 90.00° and γ = 120.00°. Symmetry generates all atoms from Na at (0.0000, 0.0000, 0.0000), Ca at (0.3333, 0.6667, 0.5000) and V at (0.6667, 0.3333, 0.5000).

=====

| no. | calculated density (g/cm³) |
| --- | --- |
| 1 | 12.2 |
| 2 | 3.0 |
| 3 | 2.3 |